# NaIn2Ge

A relaxed NaIn2Ge crystal (PBE-GGA, the Alexandria database).

total magnetization: 0.0 Bohr magnetons per cell
total DFT energy (no corrections): -2.821 eV/atom

Unit cell a=4.4618 b=4.4618 c=19.7577 alpha=90.00 beta=90.00 gamma=120.00
Last column: nearest neighbours and their distance in Å.
Fractional coordinates of all 12 atoms:
Na: 0.0000 0.0000 0.0000  6 In 3.28
Na: 0.3333 0.6667 0.6667  6 In 3.28
Na: 0.6667 0.3333 0.3333  6 In 3.28
In: 0.0000 0.0000 0.2303  3 Ge 2.87
In: 0.0000 0.0000 0.7697  3 Ge 2.87
In: 0.3333 0.6667 0.4364  3 Ge 2.87
In: 0.3333 0.6667 0.8969  3 Ge 2.87
In: 0.6667 0.3333 0.1031  3 Ge 2.87
In: 0.6667 0.3333 0.5636  3 Ge 2.87
Ge: 0.0000 0.0000 0.5000  6 In 2.87
Ge: 0.3333 0.6667 0.1667  6 In 2.87
Ge: 0.6667 0.3333 0.8333  6 In 2.87



# Hg7Cl2O3

A relaxed Hg7Cl2O3 crystal (PBE-GGA, the Alexandria database).

formation energy from raw total energies: -337 meV/atom
total magnetization: 0.0 Bohr magnetons per cell
total DFT energy (no corrections): -2.061 eV/atom

Unit cell a=6.6493 b=11.9507 c=14.9162 alpha=90.00 beta=90.00 gamma=90.00
Last column: nearest neighbours and their distance in Å.
Fractional coordinates of all 48 atoms:
Hg: 0.0000 0.0000 0.0000  2 O 2.07
Hg: 0.0000 0.0000 0.5000  2 O 2.07
Hg: 0.0000 0.5000 0.0000  2 O 2.07
Hg: 0.0000 0.5000 0.5000  2 O 2.07
Hg: 0.1401 0.0405 0.2500  1 O 2.13
Hg: 0.1401 0.4595 0.7500  1 O 2.13
Hg: 0.1535 0.2404 0.7500  1 O 2.39, 1 Cl 2.52, 1 Hg 2.62
Hg: 0.1535 0.2596 0.2500  1 O 2.39, 1 Cl 2.52, 1 Hg 2.62
Hg: 0.3257 0.7079 0.6304  2 O 2.27-2.44
Hg: 0.3257 0.7079 0.8696  2 O 2.27-2.44
Hg: 0.3257 0.7921 0.1304  2 O 2.27-2.44
Hg: 0.3257 0.7921 0.3696  2 O 2.27-2.44
Hg: 0.4655 0.1177 0.0784  1 O 2.17
Hg: 0.4655 0.1177 0.4216  1 O 2.17
Hg: 0.4655 0.3823 0.5784  1 O 2.17
Hg: 0.4655 0.3823 0.9216  1 O 2.17
Hg: 0.5345 0.6177 0.0784  1 O 2.17
Hg: 0.5345 0.6177 0.4216  1 O 2.17
Hg: 0.5345 0.8823 0.5784  1 O 2.17
Hg: 0.5345 0.8823 0.9216  1 O 2.17
Hg: 0.6743 0.2079 0.6304  2 O 2.27-2.44
Hg: 0.6743 0.2079 0.8696  2 O 2.27-2.44
Hg: 0.6743 0.2921 0.1304  2 O 2.27-2.44
Hg: 0.6743 0.2921 0.3696  2 O 2.27-2.44
Hg: 0.8465 0.7404 0.7500  1 O 2.39, 1 Cl 2.52, 1 Hg 2.62
Hg: 0.8465 0.7596 0.2500  1 O 2.39, 1 Cl 2.52, 1 Hg 2.62
Hg: 0.8599 0.5405 0.2500  1 O 2.13
Hg: 0.8599 0.9595 0.7500  1 O 2.13
Cl: 0.0730 0.2500 0.0000  6 Hg 3.03-3.33
Cl: 0.0730 0.2500 0.5000  6 Hg 3.03-3.33
Cl: 0.3188 0.0503 0.7500  1 Hg 2.52
Cl: 0.3188 0.4497 0.2500  1 Hg 2.52
Cl: 0.6812 0.5503 0.7500  1 Hg 2.52
Cl: 0.6812 0.9497 0.2500  1 Hg 2.52
Cl: 0.9270 0.7500 0.0000  6 Hg 3.03-3.33
Cl: 0.9270 0.7500 0.5000  6 Hg 3.03-3.33
O: 0.1552 0.6376 0.7500  3 Hg 2.13-2.27
O: 0.1552 0.8624 0.2500  3 Hg 2.13-2.27
O: 0.2840 0.5297 0.5521  2 Hg 2.07-2.17
O: 0.2840 0.5297 0.9479  2 Hg 2.07-2.17
O: 0.2840 0.9703 0.0521  2 Hg 2.07-2.17
O: 0.2840 0.9703 0.4479  2 Hg 2.07-2.17
O: 0.7160 0.0297 0.5521  2 Hg 2.07-2.17
O: 0.7160 0.0297 0.9479  2 Hg 2.07-2.17
O: 0.7160 0.4703 0.0521  2 Hg 2.07-2.17
O: 0.7160 0.4703 0.4479  2 Hg 2.07-2.17
O: 0.8448 0.1376 0.7500  3 Hg 2.13-2.27
O: 0.8448 0.3624 0.2500  3 Hg 2.13-2.27



# KTl2OsO4

A relaxed KTl2OsO4 crystal (PBE-GGA, the Alexandria database).

formation energy from raw total energies: -929 meV/atom
total magnetization: 0.0 Bohr magnetons per cell
total DFT energy (no corrections): -5.541 eV/atom

Unit cell a=6.5160 b=6.5160 c=7.4352 alpha=90.00 beta=90.00 gamma=90.00
Last column: nearest neighbours and their distance in Å.
Fractional coordinates of all 16 atoms:
K: 0.0000 0.0000 0.0000  4 O 2.73
K: 0.5000 0.5000 0.5000  4 O 2.73
Tl: 0.0000 0.0000 0.5000  4 O 2.79
Tl: 0.0000 0.5000 0.2500  4 O 2.85
Tl: 0.5000 0.0000 0.7500  4 O 2.85
Tl: 0.5000 0.5000 0.0000  4 O 2.79
Os: 0.0000 0.5000 0.7500  4 O 1.84
Os: 0.5000 0.0000 0.2500  4 O 1.84
O: 0.1910 0.3016 0.8072  1 Os 1.84
O: 0.1984 0.6910 0.6928  1 Os 1.84
O: 0.3016 0.8090 0.1928  1 Os 1.84
O: 0.3090 0.1984 0.3072  1 Os 1.84
O: 0.6910 0.8016 0.3072  1 Os 1.84
O: 0.6984 0.1910 0.1928  1 Os 1.84
O: 0.8016 0.3090 0.6928  1 Os 1.84
O: 0.8090 0.6984 0.8072  1 Os 1.84



# ZrIn2

A relaxed ZrIn2 crystal (PBE-GGA, the Alexandria database).

total magnetization: 0.0 Bohr magnetons per cell
total DFT energy (no corrections): -4.612 eV/atom

Unit cell a=9.1943 b=9.1943 c=3.0580 alpha=90.00 beta=90.00 gamma=120.00
Last column: nearest neighbours and their distance in Å.
Fractional coordinates of all 9 atoms:
Zr: 0.0000 0.0000 0.0000  6 In 3.04, 2 Zr 3.06
Zr: 0.3333 0.6667 0.5000  2 Zr 3.06, 9 In 3.16-3.30
Zr: 0.6667 0.3333 0.5000  2 Zr 3.06, 9 In 3.16-3.30
In: 0.0000 0.2862 0.5000  4 Zr 3.04-3.30, 4 In 3.06-3.15
In: 0.0000 0.5860 0.0000  4 In 3.06-3.15, 4 Zr 3.16
In: 0.2862 0.0000 0.5000  4 Zr 3.04-3.30, 4 In 3.06-3.15
In: 0.4140 0.4140 0.0000  4 In 3.06-3.15, 4 Zr 3.16
In: 0.5860 0.0000 0.0000  4 In 3.06-3.15, 4 Zr 3.16
In: 0.7138 0.7138 0.5000  4 Zr 3.04-3.30, 4 In 3.06-3.15